# TcPt2Cl

A geometry-optimized TcPt2Cl structure (PBE-GGA, the Alexandria database).

Unit cell a=5.0461 b=5.0461 c=2.7747 alpha=90.00 beta=90.00 gamma=116.19
Atoms (fractional coordinates):
Tc 0.0000 0.0000 0.0000
Pt 0.0000 0.5000 0.5000
Pt 0.5000 0.0000 0.5000
Cl 0.5000 0.5000 0.0000

ΔE_f (raw) = 626.6 meV/atom
E_tot = -5.447 eV per atom
Crystal system = orthorhombic
Energy above the most stable polymorph in this dataset = 558.8 meV/atom
D(E_F) = 5.194 states/eV/f.u.

---

# TcPt2Cl

A geometry-optimized TcPt2Cl structure (PBE-GGA, the Alexandria database).

Unit cell a=4.6185 b=4.6185 c=6.5600 alpha=97.96 beta=97.96 gamma=35.69
Atoms (fractional coordinates):
Tc 0.0000 0.0000 0.0000
Pt 0.4887 0.4887 0.3420
Pt 0.7413 0.7413 0.1389
Cl 0.4316 0.4316 0.7020

ΔE_f (raw) = 117.1 meV/atom
E_tot = -5.956 eV per atom
Crystal system = monoclinic
Energy above the most stable polymorph in this dataset = 49.3 meV/atom
D(E_F) = 2.575 states/eV/f.u.

---

# TcPtCl2

A geometry-optimized TcPtCl2 structure (PBE-GGA, the Alexandria database).

Unit cell a=7.2989 b=7.2989 c=7.2989 alpha=157.16 beta=142.60 gamma=44.27
Atoms (fractional coordinates):
Tc 0.0000 0.0000 0.0000
Pt 0.5000 0.5000 0.0000
Cl 0.1433 0.6433 0.5000
Cl 0.8567 0.3567 0.5000

ΔE_f (raw) = 93.4 meV/atom
E_tot = -4.932 eV per atom
Crystal system = orthorhombic
Energy above the most stable polymorph in this dataset = 207.3 meV/atom
D(E_F) = 3.565 states/eV/f.u.

---

# TcPtCl2

A geometry-optimized TcPtCl2 structure (PBE-GGA, the Alexandria database).

Unit cell a=6.1900 b=6.1900 c=6.1900 alpha=152.63 beta=108.11 gamma=78.52
Atoms (fractional coordinates):
Tc 0.0000 0.0000 0.0000
Pt 0.7767 0.2767 0.5000
Cl 0.1974 0.6974 0.5000
Cl 0.5656 0.5656 0.0000

ΔE_f (raw) = 380.9 meV/atom
E_tot = -4.644 eV per atom
Crystal system = orthorhombic
Energy above the most stable polymorph in this dataset = 494.8 meV/atom
D(E_F) = 2.492 states/eV/f.u.

---

# TcPt2Cl

A geometry-optimized TcPt2Cl structure (PBE-GGA, the Alexandria database).

Unit cell a=2.9003 b=3.5560 c=6.9307 alpha=90.00 beta=90.09 gamma=90.00
Atoms (fractional coordinates):
Tc 0.0000 0.0000 0.0000
Pt 0.4993 0.5000 0.8156
Pt 0.9987 0.0000 0.6018
Cl 0.0008 0.5000 0.2516

ΔE_f (raw) = 177.9 meV/atom
E_tot = -5.896 eV per atom
Crystal system = monoclinic
Energy above the most stable polymorph in this dataset = 110.1 meV/atom
D(E_F) = 3.061 states/eV/f.u.

---

# TcPt2Cl

A geometry-optimized TcPt2Cl structure (PBE-GGA, the Alexandria database).

Unit cell a=6.1283 b=6.1283 c=6.1283 alpha=116.32 beta=116.32 gamma=96.51
Atoms (fractional coordinates):
Tc 0.0000 0.0000 0.0000
Tc 0.7500 0.2500 0.5000
Pt 0.1024 0.6250 0.9774
Pt 0.3750 0.3524 0.4774
Pt 0.6476 0.1250 0.0226
Pt 0.8750 0.8976 0.5226
Cl 0.2500 0.7500 0.5000
Cl 0.5000 0.5000 0.0000

ΔE_f (raw) = 756.1 meV/atom
E_tot = -5.317 eV per atom
Crystal system = tetragonal
Energy above the most stable polymorph in this dataset = 688.3 meV/atom
D(E_F) = 5.209 states/eV/f.u.

---

# TcPtCl2

A geometry-optimized TcPtCl2 structure (PBE-GGA, the Alexandria database).

Unit cell a=4.8695 b=4.8695 c=4.8695 alpha=129.15 beta=129.15 gamma=74.77
Atoms (fractional coordinates):
Tc 0.0000 0.0000 0.0000
Pt 0.5000 0.5000 0.0000
Cl 0.2500 0.7500 0.5000
Cl 0.7500 0.2500 0.5000

ΔE_f (raw) = 896.8 meV/atom
E_tot = -4.128 eV per atom
Crystal system = tetragonal
Energy above the most stable polymorph in this dataset = 1010.7 meV/atom
D(E_F) = 4.674 states/eV/f.u.

---

# TcPtCl2

A geometry-optimized TcPtCl2 structure (PBE-GGA, the Alexandria database).

Unit cell a=3.0012 b=3.0012 c=8.4656 alpha=90.00 beta=90.00 gamma=90.00
Atoms (fractional coordinates):
Tc 0.0000 0.0000 0.0000
Pt 0.5000 0.5000 0.8086
Cl 0.0000 0.0000 0.5998
Cl 0.5000 0.5000 0.1902

ΔE_f (raw) = 69.8 meV/atom
E_tot = -4.955 eV per atom
Crystal system = tetragonal
Energy above the most stable polymorph in this dataset = 183.8 meV/atom
D(E_F) = 2.110 states/eV/f.u.